1.
A PBEsol-optimized structure of AgHg2, computed with meta-GGA SCAN.

a b c (Å): 8.0585 8.0585 3.2227
angles (deg): 90.00 90.00 120.00
Closest atoms and distances in Å follow each position.
Fractional coordinates of all 9 atoms:
Ag 0.0000 0.0000 0.0000  9 Hg 2.85-3.05
Ag 0.3333 0.6667 0.5000  9 Hg 2.87-2.99
Ag 0.6667 0.3333 0.5000  9 Hg 2.87-2.99
Hg 0.0000 0.2910 0.5000  4 Ag 2.85-2.87, 2 Hg 3.11
Hg 0.0000 0.6212 0.0000  5 Ag 2.99-3.05, 8 Hg 3.11-3.22
Hg 0.2910 0.0000 0.5000  4 Ag 2.85-2.87, 2 Hg 3.11
Hg 0.3788 0.3788 0.0000  5 Ag 2.99-3.05, 8 Hg 3.11-3.22
Hg 0.6212 0.0000 0.0000  5 Ag 2.99-3.05, 8 Hg 3.11-3.22
Hg 0.7090 0.7090 0.5000  4 Ag 2.85-2.87, 2 Hg 3.11

Computed properties:
Formation enthalpy at 0 K, meV/atom: 92
Relative energy among the computed polymorphs, meV/atom: 44
DOS at the Fermi energy, states/eV/f.u.: 0.898
Magnetic moment, μB/cell: 0.00
Density, g/cm3: 13.99

2.
A PBEsol-optimized structure of MgB2SeI, computed with meta-GGA SCAN.

a b c (Å): 4.3446 4.3446 5.7949
angles (deg): 90.00 90.00 90.00
Closest atoms and distances in Å follow each position.
Fractional coordinates of all 5 atoms:
Mg 0.0000 0.0000 0.0000  2 I 2.90, 4 Se 3.07
B 0.0000 0.5000 0.5000  2 I 2.17
B 0.5000 0.0000 0.5000  2 I 2.17
Se 0.5000 0.5000 0.0000  4 Mg 3.07
I 0.0000 0.0000 0.5000  4 B 2.17

Computed properties:
Formation energy without anion corrections, eV/atom: 1.806
DOS at the Fermi energy, states/eV/f.u.: 2.828
Magnetic moment, μB/cell: 0.00
Density, g/cm3: 3.82